Record 1
Density functional theory data (PBE) for a relaxed Sr4Th3PaP8 crystal.

abc: 8.4501 8.4501 20.9589
angles: 90.00 90.00 120.00
Closest atoms and distances in Å follow each position.
Space group R-3m (No. 166, hexagonal axes)
One atom of each set of equivalent atoms:
Sr  0.0000  0.0000  0.0000 x3  6 P 3.19
Sr  0.0000  0.5000  0.0000 x9  6 P 3.10
Th  0.0000  0.5000  0.5000 x9  6 P 2.91-2.92
Pa  0.0000  0.0000  0.5000 x3  6 P 2.82
P  0.0000  0.0000  0.2419 x6  3 Th 2.91, 3 Sr 3.10
P  0.0110  0.5055  0.2400 x18  1 Pa 2.82, 2 Th 2.92, 2 Sr 3.10



Record 2
Density functional theory data (PBE) for a relaxed TlCu2Ag crystal.

abc: 8.9172 3.0108 5.3005
angles: 90.00 99.52 90.00
Closest atoms and distances in Å follow each position.
Space group C2/m (No. 12)
One atom of each set of equivalent atoms:
Tl  0.0000  0.0000  0.0000 x2  6 Cu 2.88-2.95, 2 Tl 3.01, 4 Ag 3.05
Cu  0.2446  0.0000  0.7061 x4  2 Cu 2.67, 3 Ag 2.68-2.73, 3 Tl 2.88-2.95
Ag  0.0000  0.5000  0.5000 x2  6 Cu 2.68-2.73



Record 3
Density functional theory data (PBE) for a relaxed NbSn3Ge crystal.

abc: 5.3837 5.3837 5.3837
angles: 90.00 90.00 90.00
Closest atoms and distances in Å follow each position.
Space group Pm-3m (No. 221)
One atom of each set of equivalent atoms:
Nb  0.0000  0.0000  0.0000 x1  6 Sn 2.69
Sn  0.0000  0.0000  0.5000 x3  2 Nb 2.69
Ge  0.5000  0.5000  0.5000 x1  12 Sn 3.81



Record 4
Density functional theory data (PBE) for a relaxed BaLaAl2 crystal.

abc: 3.9867 3.9867 7.9153
angles: 90.00 90.00 90.00
Closest atoms and distances in Å follow each position.
Space group P4/mmm (No. 123)
One atom of each set of equivalent atoms:
Ba  0.0000  0.0000  0.0000 x1  8 Al 3.65, 2 La 3.96, 4 Ba 3.99
La  0.0000  0.0000  0.5000 x1  8 Al 3.26
Al  0.5000  0.5000  0.2923 x2  4 La 3.26, 1 Al 3.29, 4 Ba 3.65



no.,formation energy from the elements (eV per atom)
1,-1.35
2,0.29
3,0.62
4,-0.19